(1)
A PBEsol-optimized structure of Ta2Cr3Cu, computed with SCAN.

a b c (Å): 4.7201 4.7201 8.2498
angles (deg): 90.00 90.00 120.00
With the nearest neighbours (Å) after each atom.
Fractional coordinates of all 12 atoms:
Ta 0.3333 0.6667 0.0664  3 Cu 2.78, 9 Cr 2.80-2.93, 4 Ta 2.94-3.03
Ta 0.3333 0.6667 0.4336  3 Cu 2.78, 9 Cr 2.80-2.93, 4 Ta 2.94-3.03
Ta 0.6667 0.3333 0.5664  3 Cu 2.78, 9 Cr 2.80-2.93, 4 Ta 2.94-3.03
Ta 0.6667 0.3333 0.9336  3 Cu 2.78, 9 Cr 2.80-2.93, 4 Ta 2.94-3.03
Cr 0.1710 0.3419 0.7500  4 Cr 2.30-2.42, 2 Cu 2.49
Cr 0.1710 0.8290 0.7500  4 Cr 2.30-2.42, 2 Cu 2.49
Cr 0.3419 0.1710 0.2500  4 Cr 2.30-2.42, 2 Cu 2.49
Cr 0.6581 0.8290 0.7500  4 Cr 2.30-2.42, 2 Cu 2.49
Cr 0.8290 0.1710 0.2500  4 Cr 2.30-2.42, 2 Cu 2.49
Cr 0.8290 0.6581 0.2500  4 Cr 2.30-2.42, 2 Cu 2.49
Cu 0.0000 0.0000 0.0000  6 Cr 2.49, 6 Ta 2.78
Cu 0.0000 0.0000 0.5000  6 Cr 2.49, 6 Ta 2.78

Computed properties:
formation enthalpy at 0 K: -13 meV/atom
space group: P6_3/mmc

(2)
A PBEsol-optimized structure of CrSiOs, computed with SCAN.

a b c (Å): 4.3886 4.3886 4.3886
angles (deg): 143.57 131.12 62.47
With the nearest neighbours (Å) after each atom.
Fractional coordinates of all 3 atoms:
Cr 0.0000 0.0000 0.0000  5 Os 2.47-2.61, 5 Si 2.52-2.59, 2 Cr 2.74
Si 0.3362 0.3362 0.0000  5 Os 2.51-2.59, 5 Cr 2.52-2.59, 2 Si 2.74
Os 0.6711 0.6711 0.0000  5 Cr 2.47-2.61, 5 Si 2.51-2.59, 2 Os 2.74

Computed properties:
ΔE_f (raw): -0.141 eV/atom
space group: Imm2

(3)
A PBEsol-optimized structure of ZrHgW, computed with SCAN.

a b c (Å): 4.5945 4.5945 4.5945
angles (deg): 60.00 60.00 60.00
With the nearest neighbours (Å) after each atom.
Fractional coordinates of all 3 atoms:
Zr 0.0000 0.0000 0.0000  4 Hg 2.81, 4 W 2.81
Hg 0.7500 0.7500 0.7500  4 Zr 2.81
W 0.2500 0.2500 0.2500  4 Zr 2.81

Computed properties:
formation enthalpy at 0 K: 1304 meV/atom
space group: F-43m
polymorph energy (0 for the lowest one): 1040.8 meV per atom

(4)
A PBEsol-optimized structure of K2Rb4Fe2O5, computed with SCAN.

a b c (Å): 6.7096 6.7096 6.8507
angles (deg): 90.75 90.75 117.95
With the nearest neighbours (Å) after each atom.
Fractional coordinates of all 13 atoms:
K 0.2158 0.7842 0.0000  4 O 2.62-2.69
K 0.7842 0.2158 0.0000  4 O 2.62-2.69
Rb 0.2434 0.7566 0.5000  5 O 2.80-3.06
Rb 0.3373 0.3373 0.1834  5 O 2.99-3.23, 1 Fe 3.29
Rb 0.6627 0.6627 0.8166  5 O 2.99-3.23, 1 Fe 3.29
Rb 0.7566 0.2434 0.5000  5 O 2.80-3.06
Fe 0.1986 0.1986 0.6962  3 O 1.82-1.90
Fe 0.8014 0.8014 0.3038  3 O 1.82-1.90
O 0.0000 0.0000 0.5000  2 Fe 1.90
O 0.1583 0.4333 0.7880  1 Fe 1.82
O 0.4333 0.1583 0.7880  1 Fe 1.82
O 0.5667 0.8417 0.2120  1 Fe 1.82
O 0.8417 0.5667 0.2120  1 Fe 1.82

Computed properties:
ΔE_f (raw): -1.453 eV/atom
space group: C2/m

(5)
A PBEsol-optimized structure of Li2SnP2O7, computed with SCAN.

a b c (Å): 8.2401 8.2401 9.2284
angles (deg): 114.40 114.40 36.46
With the nearest neighbours (Å) after each atom.
Fractional coordinates of all 24 atoms:
Li 0.0520 0.3428 0.0596  4 O 1.91-2.03
Li 0.3428 0.0520 0.5596  4 O 1.91-2.03
Li 0.6572 0.9480 0.4404  4 O 1.91-2.03
Li 0.9480 0.6572 0.9404  4 O 1.91-2.03
Sn 0.0000 0.0000 0.0000  4 O 2.31-2.32
Sn 0.0000 0.0000 0.5000  4 O 2.31-2.32
P 0.2695 0.5122 0.6813  4 O 1.51-1.65
P 0.4878 0.7305 0.8187  4 O 1.51-1.65
P 0.5122 0.2695 0.1813  4 O 1.51-1.65
P 0.7305 0.4878 0.3187  4 O 1.51-1.65
O 0.0482 0.7151 0.5582  1 P 1.54
O 0.1437 0.6148 0.8257  1 P 1.54
O 0.2158 0.4423 0.1121  1 P 1.51
O 0.2849 0.9518 0.9418  1 P 1.54
O 0.3852 0.8563 0.6743  1 P 1.54
O 0.4423 0.2158 0.6121  1 P 1.51
O 0.4921 0.5079 0.7500  2 P 1.65
O 0.5079 0.4921 0.2500  2 P 1.65
O 0.5577 0.7842 0.3879  1 P 1.51
O 0.6148 0.1437 0.3257  1 P 1.54
O 0.7151 0.0482 0.0582  1 P 1.54
O 0.7842 0.5577 0.8879  1 P 1.51
O 0.8563 0.3852 0.1743  1 P 1.54
O 0.9518 0.2849 0.4418  1 P 1.54

Computed properties:
ΔE_f (raw): -2.255 eV/atom
space group: C2/c
polymorph energy (0 for the lowest one): 94.4 meV per atom

(6)
A PBEsol-optimized structure of MgCuW2, computed with SCAN.

a b c (Å): 5.0758 5.0758 5.0758
angles (deg): 137.07 137.07 62.33
With the nearest neighbours (Å) after each atom.
Fractional coordinates of all 4 atoms:
Mg 0.0000 0.0000 0.0000  4 Cu 2.63, 8 W 2.86
Cu 0.5000 0.5000 0.0000  4 Mg 2.63, 8 W 2.86
W 0.2500 0.7500 0.5000  4 W 2.63, 4 Cu 2.86, 4 Mg 2.86
W 0.7500 0.2500 0.5000  4 W 2.63, 4 Cu 2.86, 4 Mg 2.86

Computed properties:
formation enthalpy at 0 K: 396 meV/atom
space group: I4/mmm

(7)
A PBEsol-optimized structure of CaScGe2Cl, computed with SCAN.

a b c (Å): 4.8928 4.8928 6.7212
angles (deg): 90.00 90.00 90.00
With the nearest neighbours (Å) after each atom.
Fractional coordinates of all 5 atoms:
Ca 0.0000 0.0000 0.0000  2 Sc 3.36, 4 Cl 3.46
Sc 0.0000 0.0000 0.5000  4 Ge 2.45
Ge 0.0000 0.5000 0.5000  2 Sc 2.45
Ge 0.5000 0.0000 0.5000  2 Sc 2.45
Cl 0.5000 0.5000 0.0000  4 Ca 3.46

Computed properties:
ΔE_f (raw): 0.084 eV/atom
space group: P4/mmm

(8)
A PBEsol-optimized structure of SbOs4Se, computed with SCAN.

a b c (Å): 5.2450 5.2450 5.2450
angles (deg): 60.00 60.00 60.00
With the nearest neighbours (Å) after each atom.
Fractional coordinates of all 6 atoms:
Sb 0.0000 0.0000 0.0000  12 Os 3.08, 4 Se 3.21
Os 0.3752 0.3752 0.3752  6 Os 2.62-2.63
Os 0.3752 0.3752 0.8744  6 Os 2.62-2.63
Os 0.3752 0.8744 0.3752  6 Os 2.62-2.63
Os 0.8744 0.3752 0.3752  6 Os 2.62-2.63
Se 0.7500 0.7500 0.7500  12 Os 3.07, 4 Sb 3.21

Computed properties:
ΔE_f (raw): 1.320 eV/atom
space group: F-43m

Number 1: calculated density 12.13 g/cm3, volume 13.3 A^3/atom, energy -33.93 eV/atom. Number 2: calculated density 12.00 g/cm3, volume 12.5 A^3/atom, energy -33.57 eV/atom. Number 3: calculated density 11.52 g/cm3, volume 22.9 A^3/atom, energy -54.88 eV/atom. Number 4: calculated density 3.73 g/cm3, volume 21.0 A^3/atom, energy -14.30 eV/atom. Number 5: calculated density 3.04 g/cm3, volume 14.0 A^3/atom, energy -11.01 eV/atom. Number 6: calculated density 12.62 g/cm3, volume 15.0 A^3/atom, energy -39.49 eV/atom. Number 7: calculated density 2.74 g/cm3, volume 32.2 A^3/atom, energy -13.93 eV/atom. Number 8: calculated density 15.65 g/cm3, volume 17.0 A^3/atom, energy -56.16 eV/atom.